Density functional theory data (GGA-PBE) for a relaxed MoRuSe2 crystal.

abc: 3.1428 3.1428 6.2699
angles: 90.00 90.00 90.00
Space group P4/mmm (No. 123)
Symmetry-distinct sites (fractional):
1 Mo 0.0000 0.0000 0.0000 [1 per cell]
2 Ru 0.0000 0.0000 0.5000 [1 per cell]
3 Se 0.5000 0.5000 0.2439 [2 per cell]

Results
- Total magnetic moment: 0.0 μB per formula unit
- Crystal system: tetragonal
- Offset from the most stable computed form: 0.3148 eV per atom
- Uncorrected formation energy: 146 meV/atom